No. 1
This record from the Alexandria database describes a relaxed Cu2POs crystal. The functional is PBE.

The space group is R3m (No. 160, hexagonal axes) and the conventional cell measures 2.8248, 2.8248 and 23.2407 Å, with angles of 90.00, 90.00 and 120.00 degrees. The asymmetric unit holds Cu at (0.0000, 0.0000, 0.0000), Cu at (0.0000, 0.0000, 0.2488), P at (0.0000, 0.0000, 0.4996) and Os at (0.0000, 0.0000, 0.7596).

As for the formation energy from the elements: 0.143 eV per atom.

No. 2
This record from the Alexandria database describes a relaxed KLa3I crystal. The functional is PBE.

The space group is Pm-3m (No. 221) and the conventional cell measures 5.869, 5.869 and 5.869 Å, with angles of 90.00, 90.00 and 90.00 degrees. The asymmetric unit holds K at (0.000, 0.000, 0.000), La at (0.000, 0.000, 0.500) and I at (0.500, 0.500, 0.500).

As for the energy above the lowest structure with this stoichiometry: 779 meV/atom. Its formation energy from raw total energies is 834 meV/atom.

Here are the calculated DOS(E_F) numbers, same order: 0.498 1.432 (states/eV/atom).
Here are the calculated total DFT energy (no corrections) numbers, same order: -6.065 -2.652 (eV/atom).
Here are the calculated magnetization numbers, same order: 0.0000 0.0000 (μB/atom).